(1)
VASP calculation (PBE-GGA) on a relaxed structure of LiCu2Tc.

Geometry as POSCAR:
```
LiCu2Tc
1.0
-1.745 1.745 8.788
1.745 -1.745 8.788
1.745 1.745 -8.788
Li Cu Tc
2 4 2
Cartesian
0.000 0.000 0.000
0.000 1.745 4.394
2.617 0.844 -2.197
0.844 0.872 2.197
-0.872 0.901 6.591
0.901 0.872 10.985
1.745 0.000 4.394
0.000 0.000 8.788
```

Values from the calculation:
Its space group is I-42d. Its mass density is 7.200 g cm⁻³. The calculation puts the total energy at -35.29 eV per cell. The calculation puts the volume at 107.0 Å³/cell. For the offset from the most stable computed form, the calculation gives 602 meV per atom. The value obtained for the energy of formation is 273 kJ/mol of formula units.

***

(2)
VASP calculation (PBE-GGA) on a relaxed structure of LiCuTc2.

Geometry as POSCAR:
```
LiCuTc2
1.0
1.467 -2.172 0.000
1.467 2.172 0.000
0.000 0.000 8.910
Li Cu Tc
1 1 2
Cartesian
0.000 0.000 0.000
1.467 0.000 2.185
0.000 0.000 4.402
1.467 0.000 6.581
```

Values from the calculation:
Its space group is Cmm2. Its mass density is 7.792 g cm⁻³. The calculation puts the total energy at -25.93 eV per cell. The calculation puts the volume at 56.8 Å³/cell. For the offset from the most stable computed form, the calculation gives 30 meV per atom. The value obtained for the energy of formation is 78 kJ/mol of formula units.

***

(3)
VASP calculation (PBE-GGA) on a relaxed structure of LiCu2Tc2.

Geometry as POSCAR:
```
LiCu2Tc2
1.0
7.779 0.000 0.000
0.000 7.779 0.000
0.000 0.000 2.503
Li Cu Tc
2 4 4
Cartesian
0.000 0.000 0.000
3.889 3.889 0.000
1.433 2.456 0.000
2.456 6.346 0.000
5.322 1.433 0.000
6.346 5.322 0.000
0.863 4.752 1.251
3.026 0.863 1.251
4.752 6.916 1.251
6.916 3.026 1.251
```

Values from the calculation:
Its space group is P4/mbm. Its mass density is 7.238 g cm⁻³. The calculation puts the total energy at -58.33 eV per cell. The calculation puts the volume at 151.4 Å³/cell. For the offset from the most stable computed form, the calculation gives 0 meV per atom. The value obtained for the energy of formation is 162 kJ/mol of formula units.

***

(4)
VASP calculation (PBE-GGA) on a relaxed structure of LiCu2Tc.

Geometry as POSCAR:
```
LiCu2Tc
1.0
1.750 -1.832 0.000
1.750 1.832 0.000
0.000 0.000 8.225
Li Cu Tc
1 2 1
Cartesian
0.000 0.000 0.000
1.750 0.000 2.053
1.750 0.000 6.172
0.000 0.000 4.112
```

Values from the calculation:
Its space group is Cmmm. Its mass density is 7.308 g cm⁻³. The calculation puts the total energy at -20.01 eV per cell. The calculation puts the volume at 52.7 Å³/cell. For the offset from the most stable computed form, the calculation gives 10 meV per atom. The value obtained for the energy of formation is 44 kJ/mol of formula units.

***

(5)
VASP calculation (PBE-GGA) on a relaxed structure of LiCu2Tc.

Geometry as POSCAR:
```
LiCu2Tc
1.0
-1.258 2.280 4.655
1.258 -2.280 4.655
1.258 2.280 -4.655
Li Cu Tc
1 2 1
Cartesian
0.000 0.000 0.000
0.000 0.000 4.868
0.000 2.280 2.335
1.258 0.000 2.601
```

Values from the calculation:
Its space group is Imm2. Its mass density is 7.215 g cm⁻³. The calculation puts the total energy at -19.62 eV per cell. The calculation puts the volume at 53.4 Å³/cell. For the offset from the most stable computed form, the calculation gives 109 meV per atom. The value obtained for the energy of formation is 83 kJ/mol of formula units.

***

(6)
VASP calculation (PBE-GGA) on a relaxed structure of LiCuTc2.

Geometry as POSCAR:
```
LiCuTc2
1.0
1.651 -1.896 0.000
1.651 1.896 0.000
0.000 0.000 8.836
Li Cu Tc
1 1 2
Cartesian
0.000 0.000 0.000
0.000 0.000 4.418
1.651 0.000 2.290
1.651 0.000 6.546
```

Values from the calculation:
Its space group is Cmmm. Its mass density is 7.998 g cm⁻³. The calculation puts the total energy at -25.62 eV per cell. The calculation puts the volume at 55.3 Å³/cell. For the offset from the most stable computed form, the calculation gives 108 meV per atom. The value obtained for the energy of formation is 108 kJ/mol of formula units.

***

(7)
VASP calculation (PBE-GGA) on a relaxed structure of LiCuTc2.

Geometry as POSCAR:
```
LiCuTc2
1.0
2.511 0.000 0.000
0.000 2.511 0.000
0.000 0.000 8.763
Li Cu Tc
1 1 2
Cartesian
0.000 0.000 0.000
0.000 0.000 4.382
1.256 1.256 2.275
1.256 1.256 6.488
```

Values from the calculation:
Its space group is P4/mmm. Its mass density is 8.008 g cm⁻³. The calculation puts the total energy at -25.62 eV per cell. The calculation puts the volume at 55.3 Å³/cell. For the offset from the most stable computed form, the calculation gives 109 meV per atom. The value obtained for the energy of formation is 109 kJ/mol of formula units.

***

(8)
VASP calculation (PBE-GGA) on a relaxed structure of LiCuTc2.

Geometry as POSCAR:
```
LiCuTc2
1.0
1.327 0.766 9.210
-1.327 0.766 9.210
0.000 -1.533 9.210
Li Cu Tc
1 1 2
Cartesian
0.000 0.000 0.000
0.000 0.000 13.815
0.000 0.000 6.812
0.000 0.000 20.819
```

Values from the calculation:
Its space group is R-3m. Its mass density is 7.871 g cm⁻³. The calculation puts the total energy at -25.25 eV per cell. The calculation puts the volume at 56.2 Å³/cell. For the offset from the most stable computed form, the calculation gives 200 meV per atom. The value obtained for the energy of formation is 144 kJ/mol of formula units.

***

(9)
VASP calculation (PBE-GGA) on a relaxed structure of LiCuTc2.

Geometry as POSCAR:
```
LiCuTc2
1.0
3.213 0.000 0.000
0.000 3.213 0.000
0.000 0.000 5.089
Li Cu Tc
1 1 2
Cartesian
0.000 0.000 0.000
0.000 0.000 2.544
1.606 1.606 1.152
1.606 1.606 3.937
```

Values from the calculation:
Its space group is P4/mmm. Its mass density is 8.426 g cm⁻³. The calculation puts the total energy at -25.03 eV per cell. The calculation puts the volume at 52.5 Å³/cell. For the offset from the most stable computed form, the calculation gives 255 meV per atom. The value obtained for the energy of formation is 165 kJ/mol of formula units.

***

(10)
VASP calculation (PBE-GGA) on a relaxed structure of LiCu2Tc.

Geometry as POSCAR:
```
LiCu2Tc
1.0
-1.266 2.228 4.479
1.266 -2.228 4.479
1.266 2.228 -4.479
Li Cu Tc
1 2 1
Cartesian
0.000 0.000 0.000
1.266 0.000 2.151
0.000 2.228 2.327
0.000 0.000 4.479
```

Values from the calculation:
Its space group is Immm. Its mass density is 7.626 g cm⁻³. The calculation puts the total energy at -19.16 eV per cell. The calculation puts the volume at 50.5 Å³/cell. For the offset from the most stable computed form, the calculation gives 224 meV per atom. The value obtained for the energy of formation is 127 kJ/mol of formula units.

***

(11)
VASP calculation (PBE-GGA) on a relaxed structure of LiCuTc2.

Geometry as POSCAR:
```
LiCuTc2
1.0
2.472 -4.298 0.000
2.472 4.298 0.000
0.000 0.000 2.536
Li Cu Tc
1 1 2
Cartesian
0.000 0.000 0.000
2.472 0.000 0.000
1.236 2.149 1.268
1.236 -2.149 1.268
```

Values from the calculation:
Its space group is Cmmm. Its mass density is 8.212 g cm⁻³. The calculation puts the total energy at -25.81 eV per cell. The calculation puts the volume at 53.9 Å³/cell. For the offset from the most stable computed form, the calculation gives 60 meV per atom. The value obtained for the energy of formation is 90 kJ/mol of formula units.

***

(12)
VASP calculation (PBE-GGA) on a relaxed structure of LiCu2Tc.

Geometry as POSCAR:
```
LiCu2Tc
1.0
2.480 0.000 0.000
0.000 4.457 0.000
0.000 0.000 4.711
Li Cu Tc
1 2 1
Cartesian
0.000 0.000 0.000
1.240 0.000 2.348
1.240 2.229 0.665
0.000 2.229 3.002
```

Values from the calculation:
Its space group is Pmm2. Its mass density is 7.400 g cm⁻³. The calculation puts the total energy at -20.05 eV per cell. The calculation puts the volume at 52.1 Å³/cell. For the offset from the most stable computed form, the calculation gives 0 meV per atom. The value obtained for the energy of formation is 41 kJ/mol of formula units.

***

(13)
VASP calculation (PBE-GGA) on a relaxed structure of LiCu2Tc.

Geometry as POSCAR:
```
LiCu2Tc
1.0
0.000 2.943 2.943
2.943 0.000 2.943
2.943 2.943 0.000
Li Cu Tc
1 2 1
Cartesian
0.000 0.000 0.000
1.472 1.472 1.472
2.943 2.943 2.943
4.415 4.415 4.415
```

Values from the calculation:
Its space group is F-43m. Its mass density is 7.554 g cm⁻³. The calculation puts the total energy at -18.96 eV per cell. The calculation puts the volume at 51.0 Å³/cell. For the offset from the most stable computed form, the calculation gives 274 meV per atom. The value obtained for the energy of formation is 146 kJ/mol of formula units.

***

(14)
VASP calculation (PBE-GGA) on a relaxed structure of Li2Cu2Tc.

Geometry as POSCAR:
```
Li2Cu2Tc
1.0
6.990 0.000 0.000
0.000 6.990 0.000
0.000 0.000 2.510
Li Cu Tc
4 4 2
Cartesian
0.834 2.661 0.000
2.661 6.156 0.000
4.329 0.834 0.000
6.156 4.329 0.000
1.284 4.779 1.255
2.211 1.284 1.255
4.779 5.706 1.255
5.706 2.211 1.255
0.000 0.000 0.000
3.495 3.495 0.000
```

Values from the calculation:
Its space group is P4/mbm. Its mass density is 6.472 g cm⁻³. The calculation puts the total energy at -42.78 eV per cell. The calculation puts the volume at 122.6 Å³/cell. For the offset from the most stable computed form, the calculation gives 0 meV per atom. The value obtained for the energy of formation is 96 kJ/mol of formula units.